Record 1
## Mn3SbAu (SCAN)

Data for a crystal of Mn3SbAu relaxed with PBEsol.

Cell lengths 4.8499, 4.8499, 4.8499 Å; angles 90.00, 90.00, 90.00 degrees
Positions (direct):
Mn 0.0000 0.0000 0.5000
Mn 0.0000 0.5000 0.0000
Mn 0.5000 0.0000 0.0000
Sb 0.0000 0.0000 0.0000
Au 0.5000 0.5000 0.5000

Values from the calculation:
DOS at the Fermi energy = 5.2 states/eV/cell
crystal system = cubic
symmetry = Pm-3m, No. 221
E_tot = -31.555 eV/atom

---

Record 2
## MnSbAu4 (SCAN)

Data for a crystal of MnSbAu4 relaxed with PBEsol.

Cell lengths 5.4500, 5.4500, 5.4500 Å; angles 60.00, 60.00, 60.00 degrees
Positions (direct):
Mn 0.0000 0.0000 0.0000
Sb 0.2500 0.2500 0.2500
Au 0.1238 0.6254 0.6254
Au 0.6254 0.1238 0.6254
Au 0.6254 0.6254 0.1238
Au 0.6254 0.6254 0.6254

Values from the calculation:
DOS at the Fermi energy = 2.4 states/eV/cell
crystal system = cubic
symmetry = F-43m, No. 216
E_tot = -55.352 eV/atom